Entry from Alexandria: HgSeS2Cl at its PBEsol-relaxed geometry (meta-GGA SCAN).

Lattice parameters (Å, degrees): 4.858 4.940 4.940 90.00 90.00 90.00
Positions (direct):
S (0.000, 0.000, 0.500)
S (0.000, 0.500, 0.000)
Hg (0.000, 0.000, 0.000)
Se (0.500, 0.500, 0.500)
Cl (0.500, 0.000, 0.000)

Output
Density = 5.31 g/cm3
ΔE_f (raw) = 881 meV/atom